Entry 1:
A plane-wave DFT calculation with GGA-PBE was carried out for a relaxed Tb2Pt4Au crystal.

As for the formation energy: -0.88 eV/atom.

The space group is I4/mmm (No. 139) and the conventional cell measures 4.0121, 4.0121 and 18.2511 Å, with angles of 90.00, 90.00 and 90.00 degrees. The inequivalent atoms are Tb at (0.0000, 0.0000, 0.1167), Pt at (0.0000, 0.0000, 0.3557), Pt at (0.0000, 0.5000, 0.2500) and Au at (0.0000, 0.0000, 0.5000).

---

Entry 2:
A plane-wave DFT calculation with GGA-PBE was carried out for a relaxed Ag2GeF8 crystal.

Its uncorrected formation energy is -1.66 eV/atom.

The space group is C2/m (No. 12) and the conventional cell measures 9.8033, 7.9173 and 5.1628 Å, with angles of 90.00, 120.22 and 90.00 degrees. The inequivalent atoms are Ag at (0.1948, 0.0000, 0.2717), Ge at (0.0000, 0.5000, 0.0000), F at (0.0340, 0.0000, 0.8013), F at (0.1061, 0.5000, 0.7871) and F at (0.1358, 0.3422, 0.2577).

---

Entry 3:
A plane-wave DFT calculation with GGA-PBE was carried out for a relaxed AcDyTe2 crystal.

Its uncorrected formation energy is -1.23 eV/atom.

The space group is Fm-3m (No. 225) and the conventional cell measures 7.8574, 7.8574 and 7.8574 Å, with angles of 90.00, 90.00 and 90.00 degrees. The inequivalent atoms are Ac at (0.0000, 0.0000, 0.0000), Dy at (0.0000, 0.0000, 0.5000) and Te at (0.2500, 0.2500, 0.2500).

---

Entry 4:
A plane-wave DFT calculation with GGA-PBE was carried out for a relaxed BaAs2Cl crystal.

Its uncorrected formation energy is -0.57 eV/atom.

The space group is F-43m (No. 216) and the conventional cell measures 7.5395, 7.5395 and 7.5395 Å, with angles of 90.00, 90.00 and 90.00 degrees. The inequivalent atoms are Ba at (0.0000, 0.0000, 0.0000), As at (0.0000, 0.0000, 0.5000), As at (0.2500, 0.2500, 0.2500) and Cl at (0.2500, 0.2500, 0.7500).

---

Entry 5:
A plane-wave DFT calculation with GGA-PBE was carried out for a relaxed InIr4Se crystal.

Its uncorrected formation energy is 0.63 eV/atom.

The space group is F-43m (No. 216) and the conventional cell measures 7.4697, 7.4697 and 7.4697 Å, with angles of 90.00, 90.00 and 90.00 degrees. The inequivalent atoms are In at (0.0000, 0.0000, 0.0000), Ir at (0.1249, 0.1249, 0.3751) and Se at (0.2500, 0.2500, 0.7500).

---

Entry 6:
A plane-wave DFT calculation with GGA-PBE was carried out for a relaxed GeHS2 crystal.

The space group is Fm-3m (No. 225) and the conventional cell measures 6.1130, 6.1130 and 6.1130 Å, with angles of 90.00, 90.00 and 90.00 degrees. The inequivalent atoms are Ge at (0.0000, 0.0000, 0.0000), H at (0.0000, 0.0000, 0.5000) and S at (0.2500, 0.2500, 0.2500).

---

Calculated theoretical density, 14.64; 4.22; 8.83; 5.00; 15.34; 4.01 g cm⁻³ (same order as the records).
Calculated E_tot, -6.1265; -3.9601; -4.9832; -3.8367; -6.3191; -3.3302 eV/atom (same order as the records).